Record 1
10
Lattice="3.7893 2.1878 6.7523 -3.7893 2.1878 6.7523 0.0000 -4.3756 6.7523" Properties=species:S:1:pos:R:3 comment="NaAgSn2Br6 | Alexandria | PBE | optimized geometry" total_magnetization_mub_per_atom=0.000 space_group="R3 (146)" total_energy_ev_per_cell=-30.49 formation_energy_uncorrected_mev_per_atom=-827.6 pbc="T T T"
Na 0.0000 0.0000 0.0000
Ag 0.0000 0.0000 10.2374
Sn 0.0000 0.0000 6.3153
Sn 0.0000 0.0000 16.3957
Br -2.2421 0.0826 8.0963
Br -1.5115 -2.0582 11.4310
Br 1.0495 -1.9830 8.0963
Br -1.0267 2.3381 11.4310
Br 1.1926 1.9004 8.0963
Br 2.5382 -0.2799 11.4310



Record 2
10
Lattice="7.3844 0.0000 0.0000 -3.6890 6.4020 0.0000 -3.6873 -2.1321 6.6077" Properties=species:S:1:pos:R:3 comment="Na2TbAgBr6 | Alexandria | PBE | optimized geometry" total_magnetization_mub_per_atom=0.000 space_group="P1 (1)" total_energy_ev_per_cell=-34.45 formation_energy_uncorrected_mev_per_atom=-1428.9 pbc="T T T"
Na 0.0000 0.0000 0.0000
Na -3.6869 2.1381 3.4787
Tb 0.0043 0.0051 6.1630
Ag 0.0001 4.2716 2.6252
Br -1.4615 2.2160 1.3362
Br -2.3567 -0.2351 4.6607
Br 2.6473 0.1665 1.3381
Br -2.2975 4.4796 4.6582
Br 0.9779 2.1704 4.6606
Br 2.5091 4.0295 1.3381



Record 3
5
Lattice="5.2042 0.0000 0.0000 0.0000 5.2042 0.0000 0.0000 0.0000 5.3265" Properties=species:S:1:pos:R:3 comment="NaTcAgBr2 | Alexandria | PBE | optimized geometry" total_magnetization_mub_per_atom=0.562 space_group="P4/mmm (123)" total_energy_ev_per_cell=-17.28 formation_energy_uncorrected_mev_per_atom=120.4 pbc="T T T"
Na 0.0000 0.0000 0.0000
Tc 2.6021 2.6021 2.6633
Ag 2.6021 2.6021 0.0000
Br 0.0000 2.6021 2.6633
Br 2.6021 0.0000 2.6633



Record 4
10
Lattice="7.2093 0.0000 0.0000 3.3004 6.6800 0.0000 2.9388 -1.3021 6.8672" Properties=species:S:1:pos:R:3 comment="NaAg2TeBr6 | Alexandria | PBE | optimized geometry" total_magnetization_mub_per_atom=0.100 space_group="P1 (1)" total_energy_ev_per_cell=-25.28 formation_energy_uncorrected_mev_per_atom=-507.8 pbc="T T T"
Na 0.0000 0.0000 0.0000
Ag 6.4788 0.3247 4.3929
Ag 7.0772 4.9155 1.0694
Te 10.3393 2.7340 3.4992
Br 5.1928 2.7758 5.2570
Br 4.4150 4.5654 1.9795
Br 8.9075 4.8396 5.7708
Br 5.1213 0.3361 2.0595
Br 9.0205 0.8357 5.0996
Br 8.2087 2.5737 1.7615



Record 5
18
Lattice="6.9665 0.0000 0.0000 0.0000 6.9665 0.0000 0.0000 0.0000 12.8800" Properties=species:S:1:pos:R:3 comment="NaThAgBr6 | Alexandria | PBE | optimized geometry" total_magnetization_mub_per_atom=0.000 space_group="P4_2nm (102)" total_energy_ev_per_cell=-67.91 formation_energy_uncorrected_mev_per_atom=-1369.5 pbc="T T T"
Na 0.0000 0.0000 0.0000
Na 3.4832 3.4832 6.4400
Th 0.0000 0.0000 8.5510
Th 3.4832 3.4832 2.1110
Ag 0.0000 0.0000 4.2665
Ag 3.4832 3.4832 10.7065
Br 1.3634 1.3634 6.4350
Br 1.3970 1.3970 10.6007
Br 1.4549 1.4549 2.1799
Br 2.0284 4.9381 8.6199
Br 2.0863 4.8802 4.1607
Br 2.1198 4.8467 12.8749
Br 4.8467 2.1198 12.8749
Br 4.8802 2.0863 4.1607
Br 4.9381 2.0284 8.6199
Br 5.5116 5.5116 2.1799
Br 5.5695 5.5695 10.6007
Br 5.6031 5.6031 6.4350



Record 6
12
Lattice="6.8148 0.0000 0.0000 0.0000 8.2873 0.0000 -0.9435 0.0000 7.2372" Properties=species:S:1:pos:R:3 comment="NaThAg2Br8 | Alexandria | PBE | optimized geometry" total_magnetization_mub_per_atom=0.000 space_group="P2/m (10)" total_energy_ev_per_cell=-40.47 formation_energy_uncorrected_mev_per_atom=-1054.1 pbc="T T T"
Na 0.0000 0.0000 0.0000
Th 0.0000 4.1437 0.0000
Ag 2.9357 1.9642 3.6186
Ag 2.9357 6.3232 3.6186
Br 0.7432 2.1625 6.1603
Br 0.7432 6.1248 6.1603
Br 1.4074 0.0000 2.6641
Br 1.5753 4.1437 2.5141
Br 4.2960 4.1437 4.7231
Br 4.4639 0.0000 4.5731
Br 5.1281 2.1625 1.0770
Br 5.1281 6.1248 1.0770



Record 7
12
Lattice="9.1373 -2.1757 0.0000 9.1373 2.1757 0.0000 -1.9774 0.0000 8.4858" Properties=species:S:1:pos:R:3 comment="Na2TlAg3Br6 | Alexandria | PBE | optimized geometry" total_magnetization_mub_per_atom=0.000 space_group="C2/m (12)" total_energy_ev_per_cell=-33.14 formation_energy_uncorrected_mev_per_atom=-795.6 pbc="T T T"
Na 2.4560 0.0000 2.8228
Na 13.8412 0.0000 5.6630
Tl 9.1373 0.0000 0.0000
Ag 1.4409 0.0000 6.9028
Ag 8.1486 0.0000 4.2429
Ag 14.8563 0.0000 1.5830
Br -1.2359 0.0000 6.1766
Br 4.0439 0.0000 7.6832
Br 5.3202 0.0000 3.6556
Br 10.9769 0.0000 4.8302
Br 12.2533 0.0000 0.8026
Br 17.5330 0.0000 2.3092



Record 8
16
Lattice="2.1771 -7.3851 0.0000 2.1771 7.3851 0.0000 0.0000 0.0000 15.3696" Properties=species:S:1:pos:R:3 comment="Na2TlAgBr4 | Alexandria | PBE | optimized geometry" total_magnetization_mub_per_atom=0.000 space_group="Cmcm (63)" total_energy_ev_per_cell=-46.01 formation_energy_uncorrected_mev_per_atom=-1057.5 pbc="T T T"
Na 2.1771 5.5734 8.4846
Na 2.1771 5.5734 14.5698
Na 2.1771 -5.5734 0.7998
Na 2.1771 -5.5734 6.8850
Tl 2.1771 1.9783 11.5272
Tl 2.1771 -1.9783 3.8424
Ag 2.1771 2.2084 3.8424
Ag 2.1771 -2.2084 11.5272
Br 2.1771 6.7708 11.5272
Br 2.1771 3.8557 1.7098
Br 2.1771 3.8557 5.9750
Br 2.1771 0.0000 0.0000
Br 2.1771 0.0000 7.6848
Br 2.1771 -3.8557 9.3946
Br 2.1771 -3.8557 13.6598
Br 2.1771 -6.7708 3.8424



Record 9
10
Lattice="7.3676 0.0000 0.0000 3.6825 6.3877 0.0000 3.6751 2.1315 6.5304" Properties=species:S:1:pos:R:3 comment="Na2TlAgBr6 | Alexandria | PBE | optimized geometry" total_magnetization_mub_per_atom=0.000 space_group="P1 (1)" total_energy_ev_per_cell=-26.59 formation_energy_uncorrected_mev_per_atom=-869.5 pbc="T T T"
Na 0.0000 0.0000 0.0000
Na 7.3600 4.2601 3.3498
Tl 11.0424 6.3894 6.0016
Ag 3.6817 2.1289 2.6223
Br 6.0309 6.6904 4.4945
Br 5.1254 4.1133 1.2564
Br 5.9202 1.8946 4.4941
Br 8.3596 6.2687 1.2581
Br 10.1262 4.1976 4.4968
Br 8.6099 2.3890 1.2619



Record 10
8
Lattice="7.6206 0.0000 0.0000 0.0000 4.4086 0.0000 -2.5728 0.0000 7.4924" Properties=species:S:1:pos:R:3 comment="NaTl2AgBr4 | Alexandria | PBE | optimized geometry" total_magnetization_mub_per_atom=0.000 space_group="P2/m (10)" total_energy_ev_per_cell=-22.63 formation_energy_uncorrected_mev_per_atom=-878.9 pbc="T T T"
Na 0.0000 0.0000 0.0000
Tl -1.2864 2.2043 3.7462
Tl 2.5239 0.0000 3.7462
Ag 3.8103 2.2043 0.0000
Br 1.2911 2.2043 1.6019
Br 0.0191 0.0000 5.9183
Br 5.0286 0.0000 1.5741
Br 3.7567 2.2043 5.8905



Record 11
12
Lattice="3.8173 -6.5478 0.0000 3.8173 6.5478 0.0000 -2.5650 0.0000 7.4717" Properties=species:S:1:pos:R:3 comment="NaTl3Ag2Br6 | Alexandria | PBE | optimized geometry" total_magnetization_mub_per_atom=0.000 space_group="C2/m (12)" total_energy_ev_per_cell=-33.45 formation_energy_uncorrected_mev_per_atom=-774.7 pbc="T T T"
Na 0.0000 0.0000 0.0000
Tl 2.5348 4.3991 3.7358
Tl 2.5348 0.0000 3.7358
Tl 2.5348 -4.3991 3.7358
Ag 3.8173 2.1954 0.0000
Ag 3.8173 -2.1954 0.0000
Br 1.2789 2.2370 1.5887
Br 0.0514 0.0000 5.9266
Br 1.2789 -2.2370 1.5887
Br 3.7907 2.2370 5.8830
Br 5.0183 0.0000 1.5451
Br 3.7907 -2.2370 5.8830



Record 12
8
Lattice="0.0000 4.7497 6.4720 4.7462 0.0000 6.4720 4.7462 4.7497 0.0000" Properties=species:S:1:pos:R:3 comment="NaTlAg2Br4 | Alexandria | PBE | optimized geometry" total_magnetization_mub_per_atom=0.000 space_group="Fmm2 (42)" total_energy_ev_per_cell=-21.98 formation_energy_uncorrected_mev_per_atom=-737.3 pbc="T T T"
Na 0.0000 0.0000 0.0000
Tl 4.7462 4.7497 6.4665
Ag 2.3731 2.3749 3.2343
Ag 7.1194 7.1246 9.7063
Br 4.7462 2.1529 4.6002
Br 7.3377 4.7497 8.3416
Br 4.7462 7.3466 4.6002
Br 2.1548 4.7497 8.3416